# 1
Computed, not measured: an optimized crystal structure of Sc2AgHg at the PBE-GGA level of DFT.

* total magnetization: 0.82 μB/f.u.
* electronic total energy: -0.3070 Ry/atom

a = 3.4356 Å, b = 4.8855 Å, c = 10.1781 Å
α = 90.00°, β = 90.00°, γ = 90.00°
Space group Imm2 (No. 44)
One atom of each set of equivalent atoms:
Sc  0.0000  0.0000  0.0000 [2 per cell]
Sc  0.0000  0.5000  0.2282 [2 per cell]
Ag  0.0000  0.5000  0.7419 [2 per cell]
Hg  0.0000  0.0000  0.4749 [2 per cell]


# 2
Computed, not measured: an optimized crystal structure of MgZrMnRh at the PBE-GGA level of DFT.

* total magnetization: 3.08 μB/f.u.
* electronic total energy: -0.5099 Ry/atom

a = 6.4691 Å, b = 6.4691 Å, c = 6.4691 Å
α = 90.00°, β = 90.00°, γ = 90.00°
Space group F-43m (No. 216)
One atom of each set of equivalent atoms:
Mg  0.0000  0.0000  0.0000 [4 per cell]
Zr  0.0000  0.0000  0.5000 [4 per cell]
Mn  0.2500  0.2500  0.2500 [4 per cell]
Rh  0.2500  0.2500  0.7500 [4 per cell]


# 3
Computed, not measured: an optimized crystal structure of Zn2SbPt at the PBE-GGA level of DFT.

* uncorrected formation energy: -0.01 eV/atom
* total magnetization: 0.00 μB/f.u.

a = 6.6033 Å, b = 6.6033 Å, c = 6.6033 Å
α = 90.00°, β = 90.00°, γ = 90.00°
Space group F-43m (No. 216)
One atom of each set of equivalent atoms:
Zn  0.0000  0.0000  0.0000 [4 per cell]
Zn  0.2500  0.2500  0.2500 [4 per cell]
Sb  0.2500  0.2500  0.7500 [4 per cell]
Pt  0.0000  0.0000  0.5000 [4 per cell]


# 4
Computed, not measured: an optimized crystal structure of IrF at the PBE-GGA level of DFT.

* uncorrected formation energy: -0.43 eV/atom
* total magnetization: 0.00 μB/f.u.

a = 2.7185 Å, b = 4.6595 Å, c = 4.0507 Å
α = 90.00°, β = 90.00°, γ = 90.00°
Space group Cmmm (No. 65)
One atom of each set of equivalent atoms:
Ir  0.0000  0.0000  0.0000 [2 per cell]
F  0.0000  0.0000  0.5000 [2 per cell]


# 5
Computed, not measured: an optimized crystal structure of Zr2ZnAs at the PBE-GGA level of DFT.

* total magnetization: 0.01 μB/f.u.
* electronic total energy: -0.4410 Ry/atom

a = 4.1001 Å, b = 5.1784 Å, c = 7.5562 Å
α = 90.00°, β = 90.00°, γ = 90.00°
Space group Cmm2 (No. 35)
One atom of each set of equivalent atoms:
Zr  0.0000  0.0000  0.0000 [2 per cell]
Zr  0.0000  0.5000  0.3123 [2 per cell]
Zn  0.0000  0.0000  0.5607 [2 per cell]
As  0.0000  0.5000  0.7705 [2 per cell]


# 6
Computed, not measured: an optimized crystal structure of PuScSe2 at the PBE-GGA level of DFT.

* uncorrected formation energy: -1.48 eV/atom
* total magnetization: 5.46 μB/f.u.

a = 3.8561 Å, b = 3.8561 Å, c = 21.4318 Å
α = 90.00°, β = 90.00°, γ = 120.00°
Space group R3m (No. 160, hexagonal axes)
One atom of each set of equivalent atoms:
Pu  0.0000  0.0000  0.0000 [3 per cell]
Sc  0.0000  0.0000  0.8262 [3 per cell]
Se  0.0000  0.0000  0.4182 [3 per cell]
Se  0.0000  0.0000  0.5746 [3 per cell]


# 7
Computed, not measured: an optimized crystal structure of FeAsRh2 at the PBE-GGA level of DFT.

* total magnetization: 3.49 μB/f.u.
* electronic total energy: -0.4809 Ry/atom

a = 5.4406 Å, b = 5.4406 Å, c = 10.9401 Å
α = 90.00°, β = 90.00°, γ = 90.00°
Space group I-42d (No. 122)
One atom of each set of equivalent atoms:
Fe  0.0000  0.0000  0.0000 [4 per cell]
As  0.0000  0.0000  0.5000 [4 per cell]
Rh  0.2458  0.2500  0.6250 [8 per cell]


# 8
Computed, not measured: an optimized crystal structure of NaLa2Pm at the PBE-GGA level of DFT.

* total magnetization: 0.00 μB/f.u.
* electronic total energy: -0.2835 Ry/atom

a = 3.6320 Å, b = 3.6320 Å, c = 39.4884 Å
α = 90.00°, β = 90.00°, γ = 120.00°
Space group R-3m (No. 166, hexagonal axes)
One atom of each set of equivalent atoms:
Na  0.0000  0.0000  0.0000 [3 per cell]
La  0.0000  0.0000  0.0917 [6 per cell]
Pm  0.0000  0.0000  0.5000 [3 per cell]


# 9
Computed, not measured: an optimized crystal structure of NaPmAu at the PBE-GGA level of DFT.

* total magnetization: 0.00 μB/f.u.
* electronic total energy: -0.2521 Ry/atom

a = 3.8015 Å, b = 3.8015 Å, c = 11.5982 Å
α = 90.00°, β = 90.00°, γ = 90.00°
Space group I4mm (No. 107)
One atom of each set of equivalent atoms:
Na  0.0000  0.0000  0.0000 [2 per cell]
Pm  0.0000  0.0000  0.2795 [2 per cell]
Au  0.0000  0.0000  0.6603 [2 per cell]


# 10
Computed, not measured: an optimized crystal structure of In2FeCl at the PBE-GGA level of DFT.

* uncorrected formation energy: 0.24 eV/atom
* total magnetization: 3.11 μB/f.u.

a = 3.1280 Å, b = 5.0205 Å, c = 5.7630 Å
α = 90.00°, β = 90.00°, γ = 90.00°
Space group Pmmm (No. 47)
One atom of each set of equivalent atoms:
In  0.0000  0.0000  0.0000 [1 per cell]
In  0.5000  0.0000  0.5000 [1 per cell]
Fe  0.0000  0.5000  0.5000 [1 per cell]
Cl  0.5000  0.5000  0.0000 [1 per cell]


# 11
Computed, not measured: an optimized crystal structure of CsLiRu2 at the PBE-GGA level of DFT.

* total magnetization: 0.00 μB/f.u.
* electronic total energy: -0.2743 Ry/atom

a = 6.5537 Å, b = 6.5537 Å, c = 6.5537 Å
α = 90.00°, β = 90.00°, γ = 90.00°
Space group Fm-3m (No. 225)
One atom of each set of equivalent atoms:
Cs  0.0000  0.0000  0.0000 [4 per cell]
Li  0.0000  0.0000  0.5000 [4 per cell]
Ru  0.2500  0.2500  0.2500 [8 per cell]


# 12
Computed, not measured: an optimized crystal structure of CaYCdBi2 at the PBE-GGA level of DFT.

* total magnetization: 0.00 μB/f.u.
* electronic total energy: -0.2321 Ry/atom

a = 5.8572 Å, b = 5.8572 Å, c = 6.4922 Å
α = 90.00°, β = 90.00°, γ = 90.00°
Space group P4/mmm (No. 123)
One atom of each set of equivalent atoms:
Ca  0.0000  0.0000  0.0000 [1 per cell]
Y  0.0000  0.0000  0.5000 [1 per cell]
Cd  0.5000  0.5000  0.0000 [1 per cell]
Bi  0.0000  0.5000  0.5000 [2 per cell]


# 13
Computed, not measured: an optimized crystal structure of Nb2VCrRh at the PBE-GGA level of DFT.

* total magnetization: 0.00 μB/f.u.
* electronic total energy: -0.6178 Ry/atom

a = 4.5939 Å, b = 4.5939 Å, c = 4.1291 Å
α = 90.00°, β = 90.00°, γ = 90.00°
Space group P4/mmm (No. 123)
One atom of each set of equivalent atoms:
Nb  0.0000  0.5000  0.0000 [2 per cell]
V  0.0000  0.0000  0.5000 [1 per cell]
Cr  0.0000  0.0000  0.0000 [1 per cell]
Rh  0.5000  0.5000  0.5000 [1 per cell]


# 14
Computed, not measured: an optimized crystal structure of Rb4SrBr6 at the PBE-GGA level of DFT.

* uncorrected formation energy: -1.85 eV/atom
* total magnetization: 0.00 μB/f.u.

a = 13.6268 Å, b = 13.6268 Å, c = 16.8394 Å
α = 90.00°, β = 90.00°, γ = 120.00°
Space group R-3c (No. 167, hexagonal axes)
One atom of each set of equivalent atoms:
Rb  0.0000  0.0000  0.2500 [6 per cell]
Rb  0.0000  0.3734  0.2500 [18 per cell]
Sr  0.0000  0.0000  0.0000 [6 per cell]
Br  0.0308  0.1949  0.3945 [36 per cell]


# 15
Computed, not measured: an optimized crystal structure of SnB3Pb at the PBE-GGA level of DFT.

* total magnetization: 0.00 μB/f.u.
* electronic total energy: -0.2380 Ry/atom

a = 4.6817 Å, b = 4.6817 Å, c = 4.6817 Å
α = 90.00°, β = 90.00°, γ = 90.00°
Space group Pm-3m (No. 221)
One atom of each set of equivalent atoms:
Sn  0.0000  0.0000  0.0000 [1 per cell]
B  0.0000  0.5000  0.5000 [3 per cell]
Pb  0.5000  0.5000  0.5000 [1 per cell]


# 16
Computed, not measured: an optimized crystal structure of Ca2PrSe at the PBE-GGA level of DFT.

* uncorrected formation energy: -0.72 eV/atom
* total magnetization: 0.00 μB/f.u.

a = 3.8564 Å, b = 3.8564 Å, c = 32.5785 Å
α = 90.00°, β = 90.00°, γ = 120.00°
Space group R-3m (No. 166, hexagonal axes)
One atom of each set of equivalent atoms:
Ca  0.0000  0.0000  0.1100 [6 per cell]
Pr  0.0000  0.0000  0.0000 [3 per cell]
Se  0.0000  0.0000  0.5000 [3 per cell]


# 17
Computed, not measured: an optimized crystal structure of Ho5Tl2Sb at the PBE-GGA level of DFT.

* uncorrected formation energy: -0.31 eV/atom
* total magnetization: 0.00 μB/f.u.

a = 7.5307 Å, b = 7.5307 Å, c = 7.7997 Å
α = 90.00°, β = 90.00°, γ = 90.00°
Space group I4mm (No. 107)
One atom of each set of equivalent atoms:
Ho  0.0000  0.0000  0.0000 [2 per cell]
Ho  0.2342  0.2342  0.2954 [8 per cell]
Tl  0.0000  0.5000  0.0346 [4 per cell]
Sb  0.0000  0.0000  0.5946 [2 per cell]


# 18
Computed, not measured: an optimized crystal structure of Pa6MnTe3Se2 at the PBE-GGA level of DFT.

* uncorrected formation energy: -0.76 eV/atom
* total magnetization: 0.00 μB/f.u.

a = 7.1955 Å, b = 12.3844 Å, c = 7.4321 Å
α = 90.00°, β = 109.06°, γ = 90.00°
Space group C2/m (No. 12)
One atom of each set of equivalent atoms:
Pa  0.2202  0.1526  0.2042 [8 per cell]
Pa  0.2368  0.0000  0.7817 [4 per cell]
Mn  0.0000  0.0000  0.0000 [2 per cell]
Te  0.0000  0.1796  0.5000 [4 per cell]
Te  0.0000  0.5000  0.5000 [2 per cell]
Se  0.0000  0.3356  0.0000 [4 per cell]


# 19
Computed, not measured: an optimized crystal structure of TbPrNd6Sm2 at the PBE-GGA level of DFT.

* total magnetization: 0.00 μB/f.u.
* electronic total energy: -0.3404 Ry/atom

a = 9.2492 Å, b = 15.4305 Å, c = 9.9476 Å
α = 90.00°, β = 99.02°, γ = 90.00°
Space group C2/c (No. 15)
One atom of each set of equivalent atoms:
Tb  0.0000  0.0224  0.2500 [4 per cell]
Pr  0.0000  0.4050  0.7500 [4 per cell]
Nd  0.0654  0.1822  0.9444 [8 per cell]
Nd  0.1024  0.3964  0.1214 [8 per cell]
Nd  0.2023  0.2241  0.3152 [8 per cell]
Sm  0.2405  0.0494  0.5429 [8 per cell]


# 20
Computed, not measured: an optimized crystal structure of La2ScAl at the PBE-GGA level of DFT.

* total magnetization: 0.00 μB/f.u.
* electronic total energy: -0.3764 Ry/atom

a = 3.5688 Å, b = 5.0905 Å, c = 6.6917 Å
α = 90.00°, β = 105.32°, γ = 90.00°
Space group Pm (No. 6)
One atom of each set of equivalent atoms:
La  0.0000  0.0000  0.0000 [1 per cell]
La  0.3113  0.5000  0.6289 [1 per cell]
Sc  0.5968  0.5000  0.1936 [1 per cell]
Al  0.7152  0.0000  0.4352 [1 per cell]